A plane-wave DFT calculation with PBE was carried out for crystalline Pm3Sm8Ho2 at its relaxed geometry.

Output
Calculated volume, A^3/atom: 34.7
Space-group type: C2/m (12)
Raw total energy, eV per formula unit: -58.3
Size of the total moment, μB/f.u.: 0.00
ΔE_f, eV per atom: 0.22

Cell lengths 10.8671, 10.8671, 5.7541 Å; angles 90.05, 90.05, 41.67 degrees
Atoms (fractional coordinates):
Pm: 0.0000 0.0000 0.0000
Pm: 0.2891 0.7109 0.5000
Pm: 0.7109 0.2891 0.5000
Sm: 0.1349 0.1349 0.4992
Sm: 0.1837 0.6005 0.9997
Sm: 0.3269 0.3269 0.4984
Sm: 0.3995 0.8163 0.0003
Sm: 0.6005 0.1837 0.9997
Sm: 0.6731 0.6731 0.5016
Sm: 0.8163 0.3995 0.0003
Sm: 0.8651 0.8651 0.5008
Ho: 0.2414 0.2414 0.9980
Ho: 0.7586 0.7586 0.0020

---

A plane-wave DFT calculation with PBE was carried out for crystalline Pm2SmHo5 at its relaxed geometry.

Output
Calculated volume, A^3/atom: 32.1
Space-group type: Pbam (55)
Raw total energy, eV per formula unit: -37.0
Size of the total moment, μB/f.u.: 0.00
ΔE_f, eV per atom: 0.02

Cell lengths 7.1385, 14.2802, 5.0404 Å; angles 90.00, 90.00, 90.00 degrees
Atoms (fractional coordinates):
Pm: 0.2485 0.1255 0.0000
Pm: 0.2515 0.6255 0.0000
Pm: 0.7485 0.3745 0.0000
Pm: 0.7515 0.8745 0.0000
Sm: 0.0000 0.5000 0.5000
Sm: 0.5000 0.0000 0.5000
Ho: 0.0000 0.0000 0.5000
Ho: 0.0014 0.7506 0.5000
Ho: 0.2490 0.3746 0.0000
Ho: 0.2510 0.8746 0.0000
Ho: 0.4986 0.2506 0.5000
Ho: 0.5000 0.5000 0.5000
Ho: 0.5014 0.7494 0.5000
Ho: 0.7490 0.1254 0.0000
Ho: 0.7510 0.6254 0.0000
Ho: 0.9986 0.2494 0.5000

---

Which of these has the lowest ΔE_f?
Pm2SmHo5